(1)
# TbGdP4Au2 (PBE-GGA, relaxed)
# Raw total energy   -5.368 eV/atom
# Crystal system   tetragonal
# V   152.9 Å³ per cell
data_TbGdP4Au2
_cell_length_a 3.9068
_cell_length_b 3.9068
_cell_length_c 10.0204
_cell_angle_alpha 90.00
_cell_angle_beta 90.00
_cell_angle_gamma 90.00
_symmetry_space_group_name_H-M 'P 1'
_symmetry_Int_Tables_number 1
loop_
_symmetry_equiv_pos_as_xyz
'x,y,z'
loop_
_atom_site_label
_atom_site_fract_x
_atom_site_fract_y
_atom_site_fract_z
Tb1 0.0000 0.0000 0.0000
Gd1 0.5000 0.5000 0.4477
P1 0.0000 0.0000 0.5361
P2 0.0000 0.5000 0.2231
P3 0.5000 0.0000 0.2231
P4 0.5000 0.5000 0.9132
Au1 0.0000 0.5000 0.7246
Au2 0.5000 0.0000 0.7246

---

(2)
# DyYCu2Si2 (PBE-GGA, relaxed)
# Raw total energy   -5.567 eV/atom
# Crystal system   trigonal
# V   112.0 Å³ per cell
data_DyYCu2Si2
_cell_length_a 4.1430
_cell_length_b 4.1430
_cell_length_c 7.5349
_cell_angle_alpha 90.00
_cell_angle_beta 90.00
_cell_angle_gamma 120.00
_symmetry_space_group_name_H-M 'P 1'
_symmetry_Int_Tables_number 1
loop_
_symmetry_equiv_pos_as_xyz
'x,y,z'
loop_
_atom_site_label
_atom_site_fract_x
_atom_site_fract_y
_atom_site_fract_z
Dy1 0.0000 0.0000 0.0000
Y1 0.0000 0.0000 0.5002
Cu1 0.3333 0.6667 0.2544
Cu2 0.6667 0.3333 0.7583
Si1 0.3333 0.6667 0.7445
Si2 0.6667 0.3333 0.2426

---

(3)
# Na2ZrB2O6 (PBE-GGA, relaxed)
# Raw total energy   -7.475 eV/atom
# Crystal system   trigonal
# V   126.7 Å³ per cell
data_Na2ZrB2O6
_cell_length_a 6.1857
_cell_length_b 6.1857
_cell_length_c 6.1857
_cell_angle_alpha 49.73
_cell_angle_beta 49.73
_cell_angle_gamma 49.73
_symmetry_space_group_name_H-M 'P 1'
_symmetry_Int_Tables_number 1
loop_
_symmetry_equiv_pos_as_xyz
'x,y,z'
loop_
_atom_site_label
_atom_site_fract_x
_atom_site_fract_y
_atom_site_fract_z
Na1 0.2063 0.2063 0.2063
Na2 0.7937 0.7937 0.7937
Zr1 0.0000 0.0000 0.0000
B1 0.4132 0.4132 0.4132
B2 0.5868 0.5868 0.5868
O1 0.2612 0.2612 0.7188
O2 0.2612 0.7188 0.2612
O3 0.2812 0.7388 0.7388
O4 0.7188 0.2612 0.2612
O5 0.7388 0.2812 0.7388
O6 0.7388 0.7388 0.2812

---

(4)
# InCoIrOs (PBE-GGA, relaxed)
# ΔE to the lowest computed polymorph   0.0 meV/atom
# Crystal system   cubic
# V   61.3 Å³ per cell
data_InCoIrOs
_cell_length_a 4.4267
_cell_length_b 4.4267
_cell_length_c 4.4267
_cell_angle_alpha 60.00
_cell_angle_beta 60.00
_cell_angle_gamma 60.00
_symmetry_space_group_name_H-M 'P 1'
_symmetry_Int_Tables_number 1
loop_
_symmetry_equiv_pos_as_xyz
'x,y,z'
loop_
_atom_site_label
_atom_site_fract_x
_atom_site_fract_y
_atom_site_fract_z
In1 0.0000 0.0000 0.0000
Co1 0.2500 0.2500 0.2500
Ir1 0.7500 0.7500 0.7500
Os1 0.5000 0.5000 0.5000

---

(5)
# PaAlNO (PBE-GGA, relaxed)
# ΔE to the lowest computed polymorph   159.7 meV/atom
# Crystal system   orthorhombic
# V   220.6 Å³ per cell
data_PaAlNO
_cell_length_a 5.2077
_cell_length_b 8.3006
_cell_length_c 5.1039
_cell_angle_alpha 90.00
_cell_angle_beta 90.00
_cell_angle_gamma 90.00
_symmetry_space_group_name_H-M 'P 1'
_symmetry_Int_Tables_number 1
loop_
_symmetry_equiv_pos_as_xyz
'x,y,z'
loop_
_atom_site_label
_atom_site_fract_x
_atom_site_fract_y
_atom_site_fract_z
Pa1 0.0092 0.1323 0.0000
Pa2 0.4908 0.1323 0.5000
Pa3 0.5092 0.8677 0.0000
Pa4 0.9908 0.8677 0.5000
Al1 0.0563 0.6101 0.9672
Al2 0.4437 0.6101 0.4672
Al3 0.5563 0.3899 0.9672
Al4 0.9437 0.3899 0.4672
N1 0.0154 0.8302 0.9976
N2 0.4846 0.8302 0.4976
N3 0.5154 0.1698 0.9976
N4 0.9846 0.1698 0.4976
O1 0.1260 0.5548 0.6154
O2 0.3740 0.5548 0.1154
O3 0.6260 0.4452 0.6154
O4 0.8740 0.4452 0.1154

---

(6)
# Sc3Al2GaGe2Ir (PBE-GGA, relaxed)
# Raw total energy   -6.137 eV/atom
# Crystal system   orthorhombic
# V   158.7 Å³ per cell
data_Sc3Al2GaGe2Ir
_cell_length_a 4.0788
_cell_length_b 6.6919
_cell_length_c 6.6919
_cell_angle_alpha 119.66
_cell_angle_beta 90.00
_cell_angle_gamma 90.00
_symmetry_space_group_name_H-M 'P 1'
_symmetry_Int_Tables_number 1
loop_
_symmetry_equiv_pos_as_xyz
'x,y,z'
loop_
_atom_site_label
_atom_site_fract_x
_atom_site_fract_y
_atom_site_fract_z
Sc1 0.0000 0.0000 0.0000
Sc2 0.0000 0.1730 0.5855
Sc3 0.0000 0.5855 0.1730
Al1 0.5000 0.5873 0.8236
Al2 0.5000 0.8236 0.5873
Ga1 0.5000 0.3454 0.3454
Ge1 0.5000 0.2527 0.9173
Ge2 0.5000 0.9173 0.2527
Ir1 0.0000 0.5916 0.5916

---

(7)
# LiTlCuAu (PBE-GGA, relaxed)
# ΔE to the lowest computed polymorph   0.0 meV/atom
# Crystal system   cubic
# V   67.1 Å³ per cell
data_LiTlCuAu
_cell_length_a 4.5620
_cell_length_b 4.5620
_cell_length_c 4.5620
_cell_angle_alpha 60.00
_cell_angle_beta 60.00
_cell_angle_gamma 60.00
_symmetry_space_group_name_H-M 'P 1'
_symmetry_Int_Tables_number 1
loop_
_symmetry_equiv_pos_as_xyz
'x,y,z'
loop_
_atom_site_label
_atom_site_fract_x
_atom_site_fract_y
_atom_site_fract_z
Li1 0.0000 0.0000 0.0000
Tl1 0.2500 0.2500 0.2500
Cu1 0.5000 0.5000 0.5000
Au1 0.7500 0.7500 0.7500

---

(8)
# DyErRe (PBE-GGA, relaxed)
# Formation energy   1.149 eV/atom
# Crystal system   cubic
# V   75.9 Å³ per cell
data_DyErRe
_cell_length_a 4.7515
_cell_length_b 4.7515
_cell_length_c 4.7515
_cell_angle_alpha 60.00
_cell_angle_beta 60.00
_cell_angle_gamma 60.00
_symmetry_space_group_name_H-M 'P 1'
_symmetry_Int_Tables_number 1
loop_
_symmetry_equiv_pos_as_xyz
'x,y,z'
loop_
_atom_site_label
_atom_site_fract_x
_atom_site_fract_y
_atom_site_fract_z
Dy1 0.0000 0.0000 0.0000
Er1 0.7500 0.7500 0.7500
Re1 0.2500 0.2500 0.2500

---

(9)
# NaNbF3 (PBE-GGA, relaxed)
# ΔE to the lowest computed polymorph   740.6 meV/atom
# Crystal system   cubic
# V   62.2 Å³ per cell
data_NaNbF3
_cell_length_a 3.9612
_cell_length_b 3.9612
_cell_length_c 3.9612
_cell_angle_alpha 90.00
_cell_angle_beta 90.00
_cell_angle_gamma 90.00
_symmetry_space_group_name_H-M 'P 1'
_symmetry_Int_Tables_number 1
loop_
_symmetry_equiv_pos_as_xyz
'x,y,z'
loop_
_atom_site_label
_atom_site_fract_x
_atom_site_fract_y
_atom_site_fract_z
Na1 0.0000 0.0000 0.0000
Nb1 0.5000 0.5000 0.5000
F1 0.0000 0.0000 0.5000
F2 0.0000 0.5000 0.0000
F3 0.5000 0.0000 0.0000

---

(10)
# PrTmZn2Sn2 (PBE-GGA, relaxed)
# ΔE to the lowest computed polymorph   30.4 meV/atom
# Crystal system   hexagonal
# V   287.6 Å³ per cell
data_PrTmZn2Sn2
_cell_length_a 4.5573
_cell_length_b 4.5573
_cell_length_c 15.9881
_cell_angle_alpha 90.00
_cell_angle_beta 90.00
_cell_angle_gamma 120.00
_symmetry_space_group_name_H-M 'P 1'
_symmetry_Int_Tables_number 1
loop_
_symmetry_equiv_pos_as_xyz
'x,y,z'
loop_
_atom_site_label
_atom_site_fract_x
_atom_site_fract_y
_atom_site_fract_z
Pr1 0.0000 0.0000 0.2500
Pr2 0.0000 0.0000 0.7500
Tm1 0.0000 0.0000 0.0000
Tm2 0.0000 0.0000 0.5000
Zn1 0.3333 0.6667 0.1521
Zn2 0.3333 0.6667 0.3479
Zn3 0.6667 0.3333 0.6521
Zn4 0.6667 0.3333 0.8479
Sn1 0.3333 0.6667 0.6087
Sn2 0.3333 0.6667 0.8913
Sn3 0.6667 0.3333 0.1087
Sn4 0.6667 0.3333 0.3913

---

(11)
# Pm2Mo2C3 (PBE-GGA, relaxed)
# Raw total energy   -8.653 eV/atom
# Crystal system   monoclinic
# V   110.4 Å³ per cell
data_Pm2Mo2C3
_cell_length_a 6.2884
_cell_length_b 6.2884
_cell_length_c 5.8670
_cell_angle_alpha 113.63
_cell_angle_beta 113.63
_cell_angle_gamma 31.58
_symmetry_space_group_name_H-M 'P 1'
_symmetry_Int_Tables_number 1
loop_
_symmetry_equiv_pos_as_xyz
'x,y,z'
loop_
_atom_site_label
_atom_site_fract_x
_atom_site_fract_y
_atom_site_fract_z
Pm1 0.1074 0.1074 0.3174
Pm2 0.8926 0.8926 0.6826
Mo1 0.3400 0.3400 0.1776
Mo2 0.6600 0.6600 0.8224
C1 0.2497 0.2497 0.7742
C2 0.5000 0.5000 0.5000
C3 0.7503 0.7503 0.2258

---

(12)
# BaSrCo4Si2 (PBE-GGA, relaxed)
# Raw total energy   -5.603 eV/atom
# Crystal system   hexagonal
# V   155.5 Å³ per cell
data_BaSrCo4Si2
_cell_length_a 4.0544
_cell_length_b 4.0544
_cell_length_c 10.9255
_cell_angle_alpha 90.00
_cell_angle_beta 90.00
_cell_angle_gamma 120.00
_symmetry_space_group_name_H-M 'P 1'
_symmetry_Int_Tables_number 1
loop_
_symmetry_equiv_pos_as_xyz
'x,y,z'
loop_
_atom_site_label
_atom_site_fract_x
_atom_site_fract_y
_atom_site_fract_z
Ba1 0.0000 0.0000 0.0000
Sr1 0.6667 0.3333 0.5000
Co1 0.0000 0.0000 0.2803
Co2 0.0000 0.0000 0.7197
Co3 0.6667 0.3333 0.2351
Co4 0.6667 0.3333 0.7649
Si1 0.3333 0.6667 0.2586
Si2 0.3333 0.6667 0.7414

---

(13)
# SrBiAu (PBE-GGA, relaxed)
# Raw total energy   -3.341 eV/atom
# Crystal system   hexagonal
# V   173.5 Å³ per cell
data_SrBiAu
_cell_length_a 5.5095
_cell_length_b 5.5095
_cell_length_c 6.6001
_cell_angle_alpha 90.00
_cell_angle_beta 90.00
_cell_angle_gamma 120.00
_symmetry_space_group_name_H-M 'P 1'
_symmetry_Int_Tables_number 1
loop_
_symmetry_equiv_pos_as_xyz
'x,y,z'
loop_
_atom_site_label
_atom_site_fract_x
_atom_site_fract_y
_atom_site_fract_z
Sr1 0.3333 0.6667 0.2500
Sr2 0.6667 0.3333 0.7500
Bi1 0.3333 0.6667 0.7500
Bi2 0.6667 0.3333 0.2500
Au1 0.0000 0.0000 0.0000
Au2 0.0000 0.0000 0.5000

---

(14)
# Sm3Mg3AlHg2 (PBE-GGA, relaxed)
# Raw total energy   -2.923 eV/atom
# Crystal system   hexagonal
# V   229.5 Å³ per cell
data_Sm3Mg3AlHg2
_cell_length_a 7.8617
_cell_length_b 7.8617
_cell_length_c 4.2881
_cell_angle_alpha 90.00
_cell_angle_beta 90.00
_cell_angle_gamma 120.00
_symmetry_space_group_name_H-M 'P 1'
_symmetry_Int_Tables_number 1
loop_
_symmetry_equiv_pos_as_xyz
'x,y,z'
loop_
_atom_site_label
_atom_site_fract_x
_atom_site_fract_y
_atom_site_fract_z
Sm1 0.0000 0.5903 0.0000
Sm2 0.4098 0.4098 0.0000
Sm3 0.5903 0.0000 0.0000
Mg1 0.0000 0.2434 0.5000
Mg2 0.2434 0.0000 0.5000
Mg3 0.7566 0.7566 0.5000
Al1 0.0000 0.0000 0.0000
Hg1 0.3333 0.6667 0.5000
Hg2 0.6667 0.3333 0.5000

---

(15)
# RbMgNbNi (PBE-GGA, relaxed)
# ΔE to the lowest computed polymorph   115.0 meV/atom
# Crystal system   cubic
# V   92.0 Å³ per cell
data_RbMgNbNi
_cell_length_a 5.0667
_cell_length_b 5.0667
_cell_length_c 5.0667
_cell_angle_alpha 60.00
_cell_angle_beta 60.00
_cell_angle_gamma 60.00
_symmetry_space_group_name_H-M 'P 1'
_symmetry_Int_Tables_number 1
loop_
_symmetry_equiv_pos_as_xyz
'x,y,z'
loop_
_atom_site_label
_atom_site_fract_x
_atom_site_fract_y
_atom_site_fract_z
Rb1 0.0000 0.0000 0.0000
Mg1 0.2500 0.2500 0.2500
Nb1 0.5000 0.5000 0.5000
Ni1 0.7500 0.7500 0.7500

---

(16)
# BaAgB (PBE-GGA, relaxed)
# ΔE to the lowest computed polymorph   0.0 meV/atom
# Crystal system   cubic
# V   77.3 Å³ per cell
data_BaAgB
_cell_length_a 4.7819
_cell_length_b 4.7819
_cell_length_c 4.7819
_cell_angle_alpha 60.00
_cell_angle_beta 60.00
_cell_angle_gamma 60.00
_symmetry_space_group_name_H-M 'P 1'
_symmetry_Int_Tables_number 1
loop_
_symmetry_equiv_pos_as_xyz
'x,y,z'
loop_
_atom_site_label
_atom_site_fract_x
_atom_site_fract_y
_atom_site_fract_z
Ba1 0.0000 0.0000 0.0000
Ag1 0.5000 0.5000 0.5000
B1 0.7500 0.7500 0.7500

---

(17)
# DyHoMg2Au4 (PBE-GGA, relaxed)
# Raw total energy   -3.951 eV/atom
# Crystal system   tetragonal
# V   162.6 Å³ per cell
data_DyHoMg2Au4
_cell_length_a 4.8622
_cell_length_b 4.8622
_cell_length_c 6.8763
_cell_angle_alpha 90.00
_cell_angle_beta 90.00
_cell_angle_gamma 90.00
_symmetry_space_group_name_H-M 'P 1'
_symmetry_Int_Tables_number 1
loop_
_symmetry_equiv_pos_as_xyz
'x,y,z'
loop_
_atom_site_label
_atom_site_fract_x
_atom_site_fract_y
_atom_site_fract_z
Dy1 0.0000 0.0000 0.0000
Ho1 0.5000 0.5000 0.5000
Mg1 0.0000 0.0000 0.5000
Mg2 0.5000 0.5000 0.0000
Au1 0.0000 0.5000 0.2502
Au2 0.0000 0.5000 0.7498
Au3 0.5000 0.0000 0.2502
Au4 0.5000 0.0000 0.7498

---

(18)
# Pm6BiTe5 (PBE-GGA, relaxed)
# Raw total energy   -5.363 eV/atom
# Crystal system   monoclinic
# V   382.0 Å³ per cell
data_Pm6BiTe5
_cell_length_a 7.7510
_cell_length_b 7.7510
_cell_length_c 7.7812
_cell_angle_alpha 99.54
_cell_angle_beta 99.54
_cell_angle_gamma 119.98
_symmetry_space_group_name_H-M 'P 1'
_symmetry_Int_Tables_number 1
loop_
_symmetry_equiv_pos_as_xyz
'x,y,z'
loop_
_atom_site_label
_atom_site_fract_x
_atom_site_fract_y
_atom_site_fract_z
Pm1 0.0819 0.4154 0.7485
Pm2 0.2483 0.2483 0.2505
Pm3 0.4154 0.0819 0.7485
Pm4 0.5846 0.9181 0.2515
Pm5 0.7517 0.7517 0.7495
Pm6 0.9181 0.5846 0.2515
Bi1 0.5000 0.5000 0.0000
Te1 0.0000 0.0000 0.5000
Te2 0.1673 0.8327 0.0000
Te3 0.3343 0.6657 0.5000
Te4 0.6657 0.3343 0.5000
Te5 0.8327 0.1673 0.0000

---

(19)
# La3ZnBr3 (PBE-GGA, relaxed)
# Raw total energy   -4.286 eV/atom
# Crystal system   cubic
# V   229.7 Å³ per cell
data_La3ZnBr3
_cell_length_a 6.1244
_cell_length_b 6.1244
_cell_length_c 6.1244
_cell_angle_alpha 90.00
_cell_angle_beta 90.00
_cell_angle_gamma 90.00
_symmetry_space_group_name_H-M 'P 1'
_symmetry_Int_Tables_number 1
loop_
_symmetry_equiv_pos_as_xyz
'x,y,z'
loop_
_atom_site_label
_atom_site_fract_x
_atom_site_fract_y
_atom_site_fract_z
La1 0.0000 0.0000 0.5000
La2 0.0000 0.5000 0.0000
La3 0.5000 0.0000 0.0000
Zn1 0.0000 0.0000 0.0000
Br1 0.0000 0.5000 0.5000
Br2 0.5000 0.0000 0.5000
Br3 0.5000 0.5000 0.0000

---

(20)
# Be2NbGa (PBE-GGA, relaxed)
# Raw total energy   -4.822 eV/atom
# Crystal system   cubic
# V   52.7 Å³ per cell
data_Be2NbGa
_cell_length_a 4.2072
_cell_length_b 4.2072
_cell_length_c 4.2072
_cell_angle_alpha 60.00
_cell_angle_beta 60.00
_cell_angle_gamma 60.00
_symmetry_space_group_name_H-M 'P 1'
_symmetry_Int_Tables_number 1
loop_
_symmetry_equiv_pos_as_xyz
'x,y,z'
loop_
_atom_site_label
_atom_site_fract_x
_atom_site_fract_y
_atom_site_fract_z
Be1 0.0000 0.0000 0.0000
Be2 0.2500 0.2500 0.2500
Nb1 0.7500 0.7500 0.7500
Ga1 0.5000 0.5000 0.5000